Entry 1:
# NdGd2Ga PBE-GGA relaxed
data_NdGd2Ga
_chemical_formula_sum 'Nd1 Gd2 Ga1'
_symmetry_space_group_name_H-M 'P 1'
_symmetry_Int_Tables_number 1
_cell_length_a 4.8226
_cell_length_b 4.7877
_cell_length_c 4.7877
_cell_angle_alpha 90.00
_cell_angle_beta 90.00
_cell_angle_gamma 90.00
loop_
_symmetry_equiv_pos_as_xyz
'x,y,z'
loop_
_atom_site_label
_atom_site_fract_x
_atom_site_fract_y
_atom_site_fract_z
Gd1 0.0000 0.0000 0.5000
Gd2 0.0000 0.5000 0.0000
Nd1 0.5000 0.5000 0.5000
Ga1 0.5000 0.0000 0.0000
# electronic total energy	-9.246	eV per atom

=====

Entry 2:
# Pt2PbBr PBE-GGA relaxed
data_Pt2PbBr
_chemical_formula_sum 'Pt2 Pb1 Br1'
_symmetry_space_group_name_H-M 'P 1'
_symmetry_Int_Tables_number 1
_cell_length_a 4.8492
_cell_length_b 4.8492
_cell_length_c 4.8492
_cell_angle_alpha 60.00
_cell_angle_beta 60.00
_cell_angle_gamma 60.00
loop_
_symmetry_equiv_pos_as_xyz
'x,y,z'
loop_
_atom_site_label
_atom_site_fract_x
_atom_site_fract_y
_atom_site_fract_z
Pb1 0.5000 0.5000 0.5000
Br1 0.0000 0.0000 0.0000
Pt1 0.2500 0.2500 0.2500
Pt2 0.7500 0.7500 0.7500
# formation energy without anion corrections	1.36	eV/f.u.

=====

Entry 3:
# ScAs2PBr PBE-GGA relaxed
data_ScAs2PBr
_chemical_formula_sum 'Sc1 As2 P1 Br1'
_symmetry_space_group_name_H-M 'P 1'
_symmetry_Int_Tables_number 1
_cell_length_a 4.7880
_cell_length_b 4.7880
_cell_length_c 4.9277
_cell_angle_alpha 90.00
_cell_angle_beta 90.00
_cell_angle_gamma 90.00
loop_
_symmetry_equiv_pos_as_xyz
'x,y,z'
loop_
_atom_site_label
_atom_site_fract_x
_atom_site_fract_y
_atom_site_fract_z
Sc1 0.5000 0.5000 0.5000
P1 0.0000 0.0000 0.0000
As1 0.0000 0.5000 0.0000
As2 0.5000 0.0000 0.0000
Br1 0.0000 0.0000 0.5000
# formation energy without anion corrections	1.02	eV/f.u.

=====

Entry 4:
# Th2AgP PBE-GGA relaxed
data_Th2AgP
_chemical_formula_sum 'Th2 Ag1 P1'
_symmetry_space_group_name_H-M 'P 1'
_symmetry_Int_Tables_number 1
_cell_length_a 3.7996
_cell_length_b 3.7996
_cell_length_c 9.8976
_cell_angle_alpha 78.93
_cell_angle_beta 78.93
_cell_angle_gamma 60.00
loop_
_symmetry_equiv_pos_as_xyz
'x,y,z'
loop_
_atom_site_label
_atom_site_fract_x
_atom_site_fract_y
_atom_site_fract_z
P1 0.5000 0.5000 0.5000
Ag1 0.0000 0.0000 0.0000
Th1 0.1067 0.1067 0.6800
Th2 0.8933 0.8933 0.3200
# electronic total energy	-5.996	eV per atom

=====

Entry 5:
# Sm4Ga5Ge6 PBE-GGA relaxed
data_Sm4Ga5Ge6
_chemical_formula_sum 'Sm8 Ga10 Ge12'
_symmetry_space_group_name_H-M 'P 1'
_symmetry_Int_Tables_number 1
_cell_length_a 4.1606
_cell_length_b 9.8819
_cell_length_c 16.6780
_cell_angle_alpha 90.00
_cell_angle_beta 90.00
_cell_angle_gamma 102.15
loop_
_symmetry_equiv_pos_as_xyz
'x,y,z'
loop_
_atom_site_label
_atom_site_fract_x
_atom_site_fract_y
_atom_site_fract_z
Sm1 0.9488 0.8976 0.2711
Sm2 0.0512 0.1024 0.7711
Sm3 0.1635 0.3269 0.2963
Sm4 0.8365 0.6731 0.7963
Sm5 0.8092 0.6184 0.4579
Sm6 0.1908 0.3816 0.9579
Sm7 0.0195 0.0390 0.4918
Sm8 0.9805 0.9610 0.9918
Ga1 0.4387 0.8774 0.6961
Ga2 0.5613 0.1226 0.1961
Ga3 0.1351 0.2703 0.6259
Ga4 0.8649 0.7297 0.1259
Ga5 0.6500 0.3001 0.4314
Ga6 0.3500 0.6999 0.9314
Ga7 0.3010 0.6021 0.6192
Ga8 0.6990 0.3979 0.1192
Ga9 0.3225 0.6450 0.3200
Ga10 0.6775 0.3550 0.8200
Ge1 0.7820 0.5640 0.2479
Ge2 0.4219 0.8438 0.4142
Ge3 0.8043 0.6087 0.9953
Ge4 0.1957 0.3913 0.4953
Ge5 0.4544 0.9088 0.8485
Ge6 0.5456 0.0912 0.3485
Ge7 0.4462 0.8924 0.1235
Ge8 0.5538 0.1076 0.6235
Ge9 0.1091 0.2181 0.1164
Ge10 0.8909 0.7819 0.6164
Ge11 0.5781 0.1562 0.9142
Ge12 0.2180 0.4360 0.7479
# electronic total energy	-4.613	eV per atom

=====

Entry 6:
# Er6Tl5In PBE-GGA relaxed
data_Er6Tl5In
_chemical_formula_sum 'Er6 Tl5 In1'
_symmetry_space_group_name_H-M 'P 1'
_symmetry_Int_Tables_number 1
_cell_length_a 5.3594
_cell_length_b 7.4172
_cell_length_c 8.4702
_cell_angle_alpha 90.00
_cell_angle_beta 71.54
_cell_angle_gamma 90.00
loop_
_symmetry_equiv_pos_as_xyz
'x,y,z'
loop_
_atom_site_label
_atom_site_fract_x
_atom_site_fract_y
_atom_site_fract_z
Tl1 0.6668 0.5000 0.6664
Tl2 0.3333 0.0000 0.3336
Tl3 0.0000 0.5000 0.0000
Tl4 0.6667 0.0000 0.6664
Tl5 0.3332 0.5000 0.3336
Er1 0.8338 0.7506 0.3323
Er2 0.8338 0.2494 0.3323
Er3 0.5000 0.2490 0.0000
Er4 0.5000 0.7510 0.0000
Er5 0.1662 0.7506 0.6677
Er6 0.1662 0.2494 0.6677
In1 0.0000 0.0000 0.0000
# electronic total energy	-3.826	eV per atom

=====

Entry 7:
# MgHg14Pb PBE-GGA relaxed
data_MgHg14Pb
_chemical_formula_sum 'Mg1 Hg14 Pb1'
_symmetry_space_group_name_H-M 'P 1'
_symmetry_Int_Tables_number 1
_cell_length_a 7.5471
_cell_length_b 7.5471
_cell_length_c 7.3370
_cell_angle_alpha 90.00
_cell_angle_beta 90.00
_cell_angle_gamma 88.63
loop_
_symmetry_equiv_pos_as_xyz
'x,y,z'
loop_
_atom_site_label
_atom_site_fract_x
_atom_site_fract_y
_atom_site_fract_z
Mg1 0.3774 0.3774 0.5000
Hg1 0.8749 0.8749 0.0000
Hg2 0.3750 0.3750 0.0000
Hg3 0.8742 0.3748 0.5000
Hg4 0.8748 0.3739 0.0000
Hg5 0.3748 0.8742 0.5000
Hg6 0.3739 0.8748 0.0000
Hg7 0.6155 0.1333 0.2548
Hg8 0.6155 0.1333 0.7452
Hg9 0.1333 0.6155 0.2548
Hg10 0.1333 0.6155 0.7452
Hg11 0.6179 0.6179 0.2542
Hg12 0.6179 0.6179 0.7458
Hg13 0.1331 0.1331 0.2555
Hg14 0.1331 0.1331 0.7445
Pb1 0.8755 0.8755 0.5000
# electronic total energy	-0.587	eV per atom

=====

Entry 8:
# Zr3TiNb PBE-GGA relaxed
data_Zr3TiNb
_chemical_formula_sum 'Zr3 Ti1 Nb1'
_symmetry_space_group_name_H-M 'P 1'
_symmetry_Int_Tables_number 1
_cell_length_a 4.8830
_cell_length_b 4.8830
_cell_length_c 4.8830
_cell_angle_alpha 90.00
_cell_angle_beta 90.00
_cell_angle_gamma 90.00
loop_
_symmetry_equiv_pos_as_xyz
'x,y,z'
loop_
_atom_site_label
_atom_site_fract_x
_atom_site_fract_y
_atom_site_fract_z
Nb1 0.5000 0.5000 0.5000
Zr1 0.0000 0.5000 0.0000
Zr2 0.0000 0.0000 0.5000
Zr3 0.5000 0.0000 0.0000
Ti1 0.0000 0.0000 0.0000
# electronic total energy	-7.739	eV per atom

=====

Entry 9:
# LaIrIO2 PBE-GGA relaxed
data_LaIrIO2
_chemical_formula_sum 'La1 Ir1 I1 O2'
_symmetry_space_group_name_H-M 'P 1'
_symmetry_Int_Tables_number 1
_cell_length_a 4.3386
_cell_length_b 4.3386
_cell_length_c 5.0637
_cell_angle_alpha 90.00
_cell_angle_beta 90.00
_cell_angle_gamma 90.00
loop_
_symmetry_equiv_pos_as_xyz
'x,y,z'
loop_
_atom_site_label
_atom_site_fract_x
_atom_site_fract_y
_atom_site_fract_z
I1 0.0000 0.0000 0.5000
Ir1 0.0000 0.0000 0.0000
O1 0.0000 0.5000 0.0000
O2 0.5000 0.0000 0.0000
La1 0.5000 0.5000 0.5000
# formation energy without anion corrections	-2.62	eV/f.u.

=====

Entry 10:
# MnGe4H24C8S10N2 PBE-GGA relaxed
data_MnGe4H24C8S10N2
_chemical_formula_sum 'Mn1 Ge4 H24 C8 S10 N2'
_symmetry_space_group_name_H-M 'P 1'
_symmetry_Int_Tables_number 1
_cell_length_a 9.6963
_cell_length_b 10.0286
_cell_length_c 9.6963
_cell_angle_alpha 61.09
_cell_angle_beta 90.00
_cell_angle_gamma 118.91
loop_
_symmetry_equiv_pos_as_xyz
'x,y,z'
loop_
_atom_site_label
_atom_site_fract_x
_atom_site_fract_y
_atom_site_fract_z
Mn1 0.2500 0.5000 0.2500
Ge1 0.4761 0.8241 0.7644
Ge2 0.3481 0.8241 0.4115
Ge3 0.7644 0.1759 0.3481
Ge4 0.4115 0.1759 0.4761
H1 0.0026 0.7042 0.6890
H2 0.7016 0.7042 0.6068
H3 0.6890 0.2958 0.7016
H4 0.6068 0.2958 0.0026
H5 0.8997 0.5313 0.9066
H6 0.6317 0.5313 0.5620
H7 0.9066 0.4687 0.6317
H8 0.5620 0.4687 0.8997
H9 0.8547 0.7042 0.8001
H10 0.8494 0.7042 0.4957
H11 0.8001 0.2958 0.8494
H12 0.4957 0.2958 0.8547
H13 0.8358 0.7963 0.9615
H14 0.9604 0.7963 0.2423
H15 0.9615 0.2037 0.9604
H16 0.2423 0.2037 0.8358
H17 0.0177 0.7967 0.0022
H18 0.7790 0.7967 0.2012
H19 0.0022 0.2033 0.7790
H20 0.2012 0.2033 0.0177
H21 0.0350 0.9704 0.8038
H22 0.9354 0.9704 0.2258
H23 0.8038 0.0296 0.9354
H24 0.2258 0.0296 0.0350
C1 0.8873 0.6184 0.7898
C2 0.7311 0.6184 0.5918
C3 0.7898 0.3816 0.7311
C4 0.5918 0.3816 0.8873
C5 0.9698 0.8814 0.9369
C6 0.9117 0.8814 0.1817
C7 0.9369 0.1186 0.9117
C8 0.1817 0.1186 0.9698
S1 0.4826 0.6612 0.0130
S2 0.1786 0.6612 0.3258
S3 0.0130 0.3388 0.1786
S4 0.3258 0.3388 0.4826
S5 0.7477 0.0028 0.6141
S6 0.2550 0.0028 0.3831
S7 0.6141 0.9972 0.2550
S8 0.3831 0.9972 0.7477
S9 0.3196 0.6392 0.6804
S10 0.6804 0.3608 0.3196
N1 0.7500 0.5000 0.7500
N2 0.0000 0.0000 0.0000
# electronic total energy	-5.144	eV per atom

=====

Entry 11:
# CaTiC2 PBE-GGA relaxed
data_CaTiC2
_chemical_formula_sum 'Ca1 Ti1 C2'
_symmetry_space_group_name_H-M 'P 1'
_symmetry_Int_Tables_number 1
_cell_length_a 4.0950
_cell_length_b 4.0950
_cell_length_c 4.0950
_cell_angle_alpha 60.00
_cell_angle_beta 60.00
_cell_angle_gamma 60.00
loop_
_symmetry_equiv_pos_as_xyz
'x,y,z'
loop_
_atom_site_label
_atom_site_fract_x
_atom_site_fract_y
_atom_site_fract_z
Ca1 0.0000 0.0000 0.0000
C1 0.2500 0.2500 0.2500
C2 0.7500 0.7500 0.7500
Ti1 0.5000 0.5000 0.5000
# electronic total energy	-6.102	eV per atom

=====

Entry 12:
# PmSm8Tm6 PBE-GGA relaxed
data_PmSm8Tm6
_chemical_formula_sum 'Pm1 Sm8 Tm6'
_symmetry_space_group_name_H-M 'P 1'
_symmetry_Int_Tables_number 1
_cell_length_a 9.0326
_cell_length_b 9.0326
_cell_length_c 8.6759
_cell_angle_alpha 58.63
_cell_angle_beta 58.63
_cell_angle_gamma 60.00
loop_
_symmetry_equiv_pos_as_xyz
'x,y,z'
loop_
_atom_site_label
_atom_site_fract_x
_atom_site_fract_y
_atom_site_fract_z
Pm1 0.0000 0.0000 0.0000
Sm1 0.2491 0.2834 0.5801
Sm2 0.7166 0.1126 0.4199
Sm3 0.1126 0.7509 0.4199
Sm4 0.5774 0.5774 0.2677
Sm5 0.4226 0.4226 0.7323
Sm6 0.8874 0.2491 0.5801
Sm7 0.2834 0.8874 0.5801
Sm8 0.7509 0.7166 0.4199
Tm1 0.4634 0.9023 0.8827
Tm2 0.0977 0.2484 0.1173
Tm3 0.2484 0.5366 0.1173
Tm4 0.7516 0.4634 0.8827
Tm5 0.9023 0.7516 0.8827
Tm6 0.5366 0.0977 0.1173
# electronic total energy	-4.489	eV per atom